Density functional theory data (GGA+U) for an optimized crystal structure of Cd3WO6.

Energy above the most stable polymorph in this dataset ... 5 meV/atom
Total energy ... -5.4132 eV/atom
Size of the total moment ... 0.00 μB/cell
Symmetry ... No. 14

The structure in POSCAR format:
```
Cd3WO6
1.0
5.602 0.000 -0.050
0.000 5.714 0.000
-0.003 0.000 8.212
Cd O W
6 12 2
Direct
0.496 0.042 0.243
0.500 0.500 0.000
0.000 0.000 0.500
0.004 0.542 0.257
0.504 0.958 0.757
0.996 0.458 0.743
0.655 0.214 0.577
0.206 0.332 0.453
0.388 0.573 0.724
0.155 0.286 0.077
0.345 0.786 0.423
0.845 0.714 0.923
0.794 0.668 0.547
0.294 0.832 0.047
0.612 0.427 0.276
0.888 0.927 0.224
0.112 0.073 0.776
0.706 0.168 0.953
0.000 0.000 0.000
0.500 0.500 0.500
```